1.
## LiTe2Au (PBE)

Data for a relaxed structure of LiTe2Au.

a = 3.9007 Å, b = 3.9007 Å, c = 6.2054 Å
α = 90.00°, β = 90.00°, γ = 90.00°
Closest atoms and distances in Å follow each position.
Fractional positions:
Au 0.5000 0.5000 0.2500  2 Li 3.10, 8 Te 3.19
Li 0.5000 0.5000 0.7500  2 Au 3.10, 8 Te 3.14
Te 0.0000 0.0000 0.9924  2 Te 3.01-3.20, 4 Li 3.14, 4 Au 3.19
Te 0.0000 0.0000 0.5076  2 Te 3.01-3.20, 4 Li 3.14, 4 Au 3.19

**Space group**: P4/mmm
**Raw formation energy**: -10.55 kJ/mol of atoms
**N(E_F)**: 2.59 states/eV/cell
**V**: 23.605 A^3/atom
**Uncorrected energy**: -11.912 eV per cell



2.
## TlIrS (PBE)

Data for a relaxed structure of TlIrS.

a = 6.5006 Å, b = 7.8855 Å, c = 11.5255 Å
α = 139.54°, β = 136.42°, γ = 22.88°
Closest atoms and distances in Å follow each position.
Fractional positions:
Tl 0.8836 0.6865 0.6423  4 Ir 2.80-2.88
Tl 0.0657 0.6376 0.3186  1 S 2.61, 2 Ir 2.75-2.76
S 0.6339 0.4931 0.0332  1 Ir 2.30
S 0.8001 0.6409 0.9031  3 Ir 2.27-2.28
Ir 0.8269 0.3336 0.6040  1 S 2.27
Ir 0.9276 0.1607 0.7985  3 S 2.28-2.30

**Space group**: P1
**Raw formation energy**: 13.28 kJ/mol of atoms
**N(E_F)**: 0.45 states/eV/cell
**V**: 24.737 A^3/atom
**Uncorrected energy**: -29.884 eV per cell



3.
## PrSm4Pu3S8 (PBE)

Data for a relaxed structure of PrSm4Pu3S8.

a = 7.9912 Å, b = 8.0181 Å, c = 7.9915 Å
α = 119.89°, β = 120.00°, γ = 90.00°
Closest atoms and distances in Å follow each position.
Fractional positions:
Pr 0.0000 0.5000 0.0000  6 S 2.86
Sm 0.5000 0.0000 0.0000  6 S 2.80
Sm 0.5000 0.0000 0.5000  6 S 2.85
Sm 0.0000 0.0000 0.0000  6 S 2.85
Sm 0.0000 0.0000 0.5000  6 S 2.85
Pu 0.5000 0.5000 0.0000  6 S 2.81
Pu 0.5000 0.5000 0.5000  6 S 2.81
Pu 0.0000 0.5000 0.5000  6 S 2.81
S 0.2526 0.7493 0.9967  3 Sm 2.80-2.85, 2 Pu 2.81, 1 Pr 2.86
S 0.2526 0.7493 0.5053  3 Sm 2.80-2.85, 2 Pu 2.81, 1 Pr 2.86
S 0.2519 0.2558 0.5039  3 Pu 2.81, 3 Sm 2.85
S 0.7440 0.7493 0.9967  3 Sm 2.80-2.85, 2 Pu 2.81, 1 Pr 2.86
S 0.2560 0.2507 0.0033  3 Sm 2.80-2.85, 2 Pu 2.81, 1 Pr 2.86
S 0.7481 0.7442 0.4961  3 Pu 2.81, 3 Sm 2.85
S 0.7474 0.2507 0.4947  3 Sm 2.80-2.85, 2 Pu 2.81, 1 Pr 2.86
S 0.7474 0.2507 0.0033  3 Sm 2.80-2.85, 2 Pu 2.81, 1 Pr 2.86

**Space group**: R-3m
**Raw formation energy**: -187.52 kJ/mol of atoms
**N(E_F)**: 25.18 states/eV/cell
**V**: 22.668 A^3/atom
**Uncorrected energy**: -130.768 eV per cell



4.
## Li2DyPt2 (PBE)

Data for a relaxed structure of Li2DyPt2.

a = 4.0055 Å, b = 4.0054 Å, c = 10.7953 Å
α = 90.00°, β = 90.00°, γ = 90.00°
Closest atoms and distances in Å follow each position.
Fractional positions:
Li 0.2500 0.7501 0.8763  5 Pt 2.34-2.41
Li 0.7500 0.2499 0.1237  5 Pt 2.34-2.41
Li 0.2500 0.2501 0.5000  4 Pt 2.64, 4 Li 2.83
Li 0.7500 0.7499 0.5000  4 Pt 2.64, 4 Li 2.83
Dy 0.2500 0.7498 0.2304  4 Li 3.06, 8 Pt 3.07-3.19
Dy 0.7500 0.2502 0.7696  4 Li 3.06, 8 Pt 3.07-3.19
Pt 0.2500 0.7502 0.6593  1 Li 2.34
Pt 0.7500 0.2498 0.3407  1 Li 2.34
Pt 0.2500 0.2500 0.0000  4 Li 2.41
Pt 0.7500 0.7500 0.0000  4 Li 2.41

**Energy relative to the lowest polymorph listed for this composition**: 12 kJ/mol of formula units
**Space group**: P4/nmm
**Formation energy**: -0.71 eV per atom
**N(E_F)**: 5.71 states/eV/cell
**V**: 17.320 A^3/atom
**Uncorrected energy**: -48.171 eV per cell



Please write out number 2 again, unchanged.
## TlIrS (PBE)

Data for a relaxed structure of TlIrS.

a = 6.5006 Å, b = 7.8855 Å, c = 11.5255 Å
α = 139.54°, β = 136.42°, γ = 22.88°
Closest atoms and distances in Å follow each position.
Fractional positions:
Tl 0.8836 0.6865 0.6423  4 Ir 2.80-2.88
Tl 0.0657 0.6376 0.3186  1 S 2.61, 2 Ir 2.75-2.76
S 0.6339 0.4931 0.0332  1 Ir 2.30
S 0.8001 0.6409 0.9031  3 Ir 2.27-2.28
Ir 0.8269 0.3336 0.6040  1 S 2.27
Ir 0.9276 0.1607 0.7985  3 S 2.28-2.30

**Space group**: P1
**Raw formation energy**: 13.28 kJ/mol of atoms
**N(E_F)**: 0.45 states/eV/cell
**V**: 24.737 A^3/atom
**Uncorrected energy**: -29.884 eV per cell



Which of these has the lowest uncorrected energy?
PrSm4Pu3S8



Look up the N(E_F) of the fourth one.
5.71 states/eV/cell